DFT (GGA-PBEsol) results for an optimized crystal structure of Co2CuNi.

M_tot ... 3.692 μB per formula unit
SG ... No. 25
Formation energy ... 0.0712 eV/atom

Geometry as extended XYZ:
```
4
Lattice="2.454 0.000 0.000 0.000 3.475 0.000 0.000 0.000 4.954" Properties=species:S:1:pos:R:3 pbc="T T T"
Co 0.000 0.000 0.000
Co 1.227 1.737 1.165
Cu 0.000 0.000 2.460
Ni 1.227 1.737 3.696
```